A relaxed structure of SmP2Pt7Pb2. Source: Alexandria via LeMat-Bulk, functional PBE.

Calculated density: 13.6 g/cm³
Formation enthalpy at 0 K: -0.589 eV per atom
Total magnetization: 0.000 μB per atom

abc: 4.007 4.007 15.439
angles: 82.50 82.50 89.96
Atoms (fractional coordinates):
Pt (0.926, 0.426, 0.148)
Pt (0.691, 0.691, 0.617)
Pt (0.500, 0.500, 0.000)
Pt (0.309, 0.309, 0.383)
Pt (0.074, 0.574, 0.852)
Pt (0.426, 0.926, 0.148)
Pt (0.574, 0.074, 0.852)
Pb (0.788, 0.788, 0.423)
Pb (0.212, 0.212, 0.577)
Sm (0.000, 0.000, 0.000)
P (0.616, 0.616, 0.767)
P (0.384, 0.384, 0.233)